[1]
Below is a relaxed structure of HgIr2W, with properties calculated at the PBE level.

Computed properties:
Formation energy (meV/atom): 670

Unit cell a=6.3997 b=6.3997 c=6.3997 alpha=90.00 beta=90.00 gamma=90.00
Last column: nearest neighbours and their distance in Å.
Space group F-43m (No. 216)
One atom of each set of equivalent atoms:
Hg 0.0000 0.0000 0.0000  4 W 2.77, 4 Ir 2.77
Ir 0.0000 0.0000 0.5000  4 Ir 2.77, 4 W 2.77
Ir 0.2500 0.2500 0.7500  4 Hg 2.77, 4 Ir 2.77
W 0.2500 0.2500 0.2500  4 Hg 2.77, 4 Ir 2.77



[2]
Below is a relaxed structure of La2BeRuN, with properties calculated at the PBE level.

Computed properties:
Formation energy without anion corrections (eV/atom): -0.5150

Unit cell a=5.2337 b=5.2337 c=3.3512 alpha=90.00 beta=90.00 gamma=90.00
Last column: nearest neighbours and their distance in Å.
Space group P4/mmm (No. 123)
One atom of each set of equivalent atoms:
La 0.0000 0.5000 0.0000  2 N 2.62
Be 0.0000 0.0000 0.5000  2 N 1.68
Ru 0.5000 0.5000 0.5000  8 La 3.11, 2 Ru 3.35
N 0.0000 0.0000 0.0000  2 Be 1.68